# TiAlP3 | Alexandria via LeMat-Bulk | PBE-GGA | relaxed
# **D(E_F)**: 6.06 states/eV/f.u.
# **Energy relative to the elements**: 652 meV per atom
# **Distance to the lowest polymorph of the same formula**: 1.70 eV per formula unit
data_TiAlP3
_cell_length_a 4.568
_cell_length_b 4.568
_cell_length_c 4.568
_cell_angle_alpha 90.00
_cell_angle_beta 90.00
_cell_angle_gamma 90.00
_symmetry_space_group_name_H-M 'P 1'
_symmetry_Int_Tables_number 1
loop_
_symmetry_equiv_pos_as_xyz
'x,y,z'
loop_
_atom_site_label
_atom_site_type_symbol
_atom_site_fract_x
_atom_site_fract_y
_atom_site_fract_z
Ti1 Ti 0.000 0.000 0.000
Al1 Al 0.500 0.500 0.500
P1 P 0.000 0.500 0.500
P2 P 0.500 0.000 0.500
P3 P 0.500 0.500 0.000



# MnCdIn2 | Alexandria via LeMat-Bulk | PBE-GGA | relaxed
# **D(E_F)**: 2.09 states/eV/f.u.
# **Energy relative to the elements**: 212 meV per atom
data_MnCdIn2
_cell_length_a 6.229
_cell_length_b 8.678
_cell_length_c 3.175
_cell_angle_alpha 90.00
_cell_angle_beta 90.00
_cell_angle_gamma 90.00
_symmetry_space_group_name_H-M 'P 1'
_symmetry_Int_Tables_number 1
loop_
_symmetry_equiv_pos_as_xyz
'x,y,z'
loop_
_atom_site_label
_atom_site_type_symbol
_atom_site_fract_x
_atom_site_fract_y
_atom_site_fract_z
Mn1 Mn 0.000 0.000 0.000
Mn2 Mn 0.500 0.500 0.000
Cd1 Cd 0.000 0.500 0.000
Cd2 Cd 0.500 0.000 0.000
In1 In 0.250 0.250 0.500
In2 In 0.250 0.750 0.500
In3 In 0.750 0.250 0.500
In4 In 0.750 0.750 0.500



# Sm5TlPd2 | Alexandria via LeMat-Bulk | PBE-GGA | relaxed
# **D(E_F)**: 8.91 states/eV/f.u.
# **Energy relative to the elements**: -519 meV per atom
data_Sm5TlPd2
_cell_length_a 8.879
_cell_length_b 8.879
_cell_length_c 8.879
_cell_angle_alpha 126.09
_cell_angle_beta 126.09
_cell_angle_gamma 79.75
_symmetry_space_group_name_H-M 'P 1'
_symmetry_Int_Tables_number 1
loop_
_symmetry_equiv_pos_as_xyz
'x,y,z'
loop_
_atom_site_label
_atom_site_type_symbol
_atom_site_fract_x
_atom_site_fract_y
_atom_site_fract_z
Sm1 Sm 0.000 0.000 0.000
Sm2 Sm 0.018 0.518 0.817
Sm3 Sm 0.201 0.018 0.500
Sm4 Sm 0.299 0.799 0.817
Sm5 Sm 0.482 0.299 0.500
Sm6 Sm 0.500 0.500 0.000
Sm7 Sm 0.518 0.701 0.500
Sm8 Sm 0.701 0.201 0.183
Sm9 Sm 0.799 0.982 0.500
Sm10 Sm 0.982 0.482 0.183
Tl1 Tl 0.250 0.250 0.000
Tl2 Tl 0.750 0.750 0.000
Pd1 Pd 0.132 0.368 0.500
Pd2 Pd 0.368 0.868 0.235
Pd3 Pd 0.632 0.132 0.765
Pd4 Pd 0.868 0.632 0.500